Below is a relaxed structure of Zr2TaB, with properties calculated at the PBE level.

The crystal system is tetragonal. The space group is No. 122. As for the formation energy: 1.23 eV/f.u.

Unit cell a=7.6586 b=7.6586 c=5.9413 alpha=49.87 beta=49.87 gamma=90.00
Fractional coordinates of all 8 atoms:
Zr: 0.3750 0.4456 0.7500
Zr: 0.5544 0.1250 0.2500
Zr: 0.1956 0.6250 0.2500
Zr: 0.8750 0.8044 0.7500
B: 0.5000 0.5000 0.0000
B: 0.2500 0.7500 0.5000
Ta: 0.7500 0.2500 0.5000
Ta: 0.0000 0.0000 0.0000

Below is a relaxed structure of Ti2MnGe2, with properties calculated at the PBE level.

The crystal system is tetragonal. The space group is No. 139. As for the formation energy: 0.13 eV/f.u.

Unit cell a=3.9447 b=3.9447 c=6.3746 alpha=71.98 beta=71.98 gamma=90.00
Fractional coordinates of all 5 atoms:
Mn: 0.0000 0.0000 0.0000
Ge: 0.3972 0.3972 0.2057
Ge: 0.6028 0.6028 0.7943
Ti: 0.2500 0.7500 0.5000
Ti: 0.7500 0.2500 0.5000

Below is a relaxed structure of RbTl6Pd, with properties calculated at the PBE level.

The crystal system is tetragonal. The space group is No. 123. As for the formation energy: -0.43 eV/f.u.

Unit cell a=4.9378 b=4.9378 c=10.5320 alpha=90.00 beta=90.00 gamma=90.00
Fractional coordinates of all 8 atoms:
Tl: 0.5000 0.0000 0.6522
Tl: 0.5000 0.0000 0.3478
Tl: 0.5000 0.5000 0.1495
Tl: 0.0000 0.5000 0.3478
Tl: 0.0000 0.5000 0.6522
Tl: 0.5000 0.5000 0.8505
Pd: 0.0000 0.0000 0.5000
Rb: 0.0000 0.0000 0.0000

Below is a relaxed structure of HfZr2Sc12, with properties calculated at the PBE level.

The crystal system is tetragonal. The space group is No. 125. As for the formation energy: 6.44 eV/f.u.

Unit cell a=7.7880 b=7.7880 c=12.0217 alpha=90.00 beta=90.00 gamma=90.00
Fractional coordinates of all 30 atoms:
Sc: 0.5000 0.5000 0.6444
Sc: 0.2569 0.2431 0.8395
Sc: 0.0000 0.0000 0.8981
Sc: 0.3410 0.8410 0.4232
Sc: 0.6590 0.8410 0.5768
Sc: 0.7431 0.7569 0.8395
Sc: 0.7569 0.7431 0.1605
Sc: 0.8410 0.3410 0.5768
Sc: 0.5000 0.5000 0.3556
Sc: 0.5000 0.5000 0.1019
Sc: 0.7431 0.2431 0.1605
Sc: 0.2569 0.7569 0.1605
Sc: 0.0000 0.0000 0.6444
Sc: 0.3410 0.1590 0.5768
Sc: 0.8410 0.6590 0.4232
Sc: 0.0000 0.0000 0.1019
Sc: 0.1590 0.6590 0.5768
Sc: 0.2431 0.7431 0.8395
Sc: 0.7569 0.2569 0.8395
Sc: 0.0000 0.0000 0.3556
Sc: 0.6590 0.1590 0.4232
Sc: 0.2431 0.2569 0.1605
Sc: 0.1590 0.3410 0.4232
Sc: 0.5000 0.5000 0.8981
Hf: 0.0000 0.5000 0.0000
Hf: 0.5000 0.0000 0.0000
Zr: 0.0000 0.5000 0.2472
Zr: 0.5000 0.0000 0.7528
Zr: 0.0000 0.5000 0.7528
Zr: 0.5000 0.0000 0.2472

Below is a relaxed structure of CeHo2Th, with properties calculated at the PBE level.

The crystal system is trigonal. The space group is No. 160. As for the offset from the most stable computed form: 25 meV/atom. As for the formation energy: 0.28 eV/f.u.

Unit cell a=3.5175 b=3.5175 c=11.7166 alpha=81.37 beta=81.37 gamma=60.00
Fractional coordinates of all 4 atoms:
Ho: 0.0818 0.0818 0.7547
Ho: 0.2515 0.2515 0.2456
Ce: 0.6665 0.6665 0.0005
Th: 0.5003 0.5003 0.4992

Below is a relaxed structure of Ac2NbN5, with properties calculated at the PBE level.

The crystal system is tetragonal. The space group is No. 123. Its formation energy from raw total energies is -244 meV/atom.

Unit cell a=4.0356 b=5.6827 c=5.6827 alpha=90.00 beta=90.00 gamma=90.00
Fractional coordinates of all 8 atoms:
Nb: 0.0000 0.0000 0.0000
Ac: 0.5000 0.0000 0.5000
Ac: 0.5000 0.5000 0.0000
N: 0.0000 0.2581 0.2581
N: 0.0000 0.7419 0.2581
N: 0.5000 0.0000 0.0000
N: 0.0000 0.2581 0.7419
N: 0.0000 0.7419 0.7419

Below is a relaxed structure of Sc2InPd, with properties calculated at the PBE level.

The crystal system is tetragonal. The space group is No. 123. As for the formation energy: -2.67 eV/f.u.

Unit cell a=3.3072 b=3.3072 c=7.4562 alpha=90.00 beta=90.00 gamma=90.00
Fractional coordinates of all 4 atoms:
Sc: 0.0000 0.0000 0.7777
Sc: 0.0000 0.0000 0.2223
Pd: 0.5000 0.5000 0.0000
In: 0.5000 0.5000 0.5000

Below is a relaxed structure of V3FeTe, with properties calculated at the PBE level.

The crystal system is cubic. The space group is No. 221. As for the offset from the most stable computed form: 0 meV/atom. Its formation energy from raw total energies is 563 meV/atom.

Unit cell a=4.3848 b=4.3848 c=4.3848 alpha=90.00 beta=90.00 gamma=90.00
Fractional coordinates of all 5 atoms:
V: 0.0000 0.0000 0.5000
V: 0.0000 0.5000 0.0000
V: 0.5000 0.0000 0.0000
Fe: 0.0000 0.0000 0.0000
Te: 0.5000 0.5000 0.5000

Table of DOS at the Fermi energy (states/eV/f.u.), in record order: 1.42; 4.27; 3.17; 19.94; 8.12; 5.90; 2.46; 7.26